Record 1
## NbInPb2O6 (PBE)

Data for a relaxed structure of NbInPb2O6.

abc: 5.835 5.871 10.122
angles: 90.00 125.17 90.00
Space group P2_1/c (No. 14)
Inequivalent atoms, fractional coordinates:
Nb (0.000, 0.000, 0.000)
In (0.500, 0.000, 0.500)
Pb (0.245, 0.027, 0.750)
O (0.163, 0.224, 0.462)
O (0.240, 0.704, 0.464)
O (0.312, 0.016, 0.240)

Results
DFT total energy: -6.74 eV per atom
Magnetization: 0.000 μB/atom
Relative energy among the computed polymorphs: 0.000 eV/atom
Crystal system: monoclinic
Formation energy from raw total energies: -1.741 eV/atom


Record 2
## ScSbSe (PBE)

Data for a relaxed structure of ScSbSe.

abc: 6.851 6.851 6.851
angles: 90.00 90.00 90.00
Space group P2_13 (No. 198)
Inequivalent atoms, fractional coordinates:
Sc (0.020, 0.020, 0.020)
Sb (0.119, 0.619, 0.881)
Se (0.107, 0.893, 0.393)

Results
DFT total energy: -5.48 eV per atom
Magnetization: 0.000 μB/atom
Crystal system: cubic
Formation energy from raw total energies: -0.831 eV/atom